# 1
Below is a relaxed structure of KMnI5, with properties calculated at the PBE-GGA level.

```
KMnI5
1.0
-3.6769 5.2077 -4.6555
-3.9316 -6.5641 1.9414
-0.3272 2.6692 11.9437
I Mn K
10 2 2
Direct
0.6725 0.8318 0.0575
0.0780 0.3550 0.0801
0.2742 0.6149 0.4425
0.7258 0.3851 0.5575
0.3275 0.1682 0.9425
0.2251 0.0020 0.5801
0.7749 0.9980 0.4199
0.3022 0.0522 0.2500
0.6978 0.9478 0.7500
0.9220 0.6450 0.9199
0.5000 0.0000 0.5000
0.0000 0.0000 0.0000
0.7335 0.4835 0.2500
0.2665 0.5165 0.7500
```

Properties
- Formation energy without anion corrections: -529 meV/atom
- Symmetry: C2/c
- V: 43.4 Å³ per atom

=====

# 2
Below is a relaxed structure of K5MnI8, with properties calculated at the PBE-GGA level.

```
K5MnI8
1.0
-4.6291 3.4577 -7.4809
-6.6673 -4.4882 4.9750
4.2387 6.7913 5.0259
I K Mn
8 5 1
Direct
0.5407 0.8281 0.7712
0.4827 0.2856 0.5946
0.7144 0.3090 0.1971
0.6910 0.8881 0.4054
0.1119 0.5173 0.8029
0.0569 0.7695 0.2288
0.1719 0.9431 0.7126
0.2305 0.4593 0.2874
0.0264 0.1766 0.4230
0.3966 0.9736 0.1502
0.8234 0.2464 0.8498
0.7536 0.6034 0.5770
0.5000 0.5000 0.0000
0.2500 0.7500 0.5000
```

Properties
- Formation energy without anion corrections: -1079 meV/atom
- Symmetry: I-4
- V: 46.1 Å³ per atom

=====

# 3
Below is a relaxed structure of KMnI2, with properties calculated at the PBE-GGA level.

```
KMnI2
1.0
8.4688 0.0000 0.0000
0.0000 8.4688 0.0000
4.2344 4.2344 4.1804
K I Mn
2 4 2
Direct
0.2500 0.7500 0.5000
0.5000 0.5000 0.0000
0.7075 0.1250 0.2500
0.3750 0.2925 0.7500
0.0425 0.6250 0.2500
0.8750 0.9575 0.7500
0.0000 0.0000 0.0000
0.7500 0.2500 0.5000
```

Properties
- E above lowest polymorph: 0.000 eV/atom
- Formation energy without anion corrections: -462 meV/atom
- Symmetry: I-42d
- V: 37.5 Å³ per atom

=====

# 4
Below is a relaxed structure of KMn2I, with properties calculated at the PBE-GGA level.

```
KMn2I
1.0
0.0000 3.2532 3.2532
3.2532 0.0000 3.2532
3.2532 3.2532 0.0000
Mn I K
2 1 1
Direct
0.2500 0.2500 0.2500
0.7500 0.7500 0.7500
0.5000 0.5000 0.5000
0.0000 0.0000 0.0000
```

Properties
- E above lowest polymorph: 1.143 eV/atom
- Formation energy without anion corrections: 1793 meV/atom
- Symmetry: Fm-3m
- V: 17.2 Å³ per atom

=====

# 5
Below is a relaxed structure of KMn4I12, with properties calculated at the PBE-GGA level.

```
KMn4I12
1.0
-7.4370 2.8363 -4.7395
3.6928 -7.3942 -4.1839
-2.5135 -2.2661 8.6234
I Mn K
12 4 1
Direct
0.8121 0.3036 0.1157
0.3036 0.1157 0.8121
0.5085 0.8121 0.6964
0.4915 0.1879 0.3036
0.1879 0.6964 0.8843
0.1157 0.8121 0.3036
0.3036 0.4915 0.1879
0.1879 0.3036 0.4915
0.8121 0.6964 0.5085
0.6964 0.5085 0.8121
0.8843 0.1879 0.6964
0.6964 0.8843 0.1879
0.0000 0.5000 0.0000
0.5000 0.5000 0.5000
0.0000 0.0000 0.5000
0.5000 0.0000 0.0000
0.0000 0.0000 0.0000
```

Properties
- Formation energy without anion corrections: -405 meV/atom
- Symmetry: Im-3
- V: 36.0 Å³ per atom

=====

# 6
Below is a relaxed structure of K4MnI6, with properties calculated at the PBE-GGA level.

```
K4MnI6
1.0
8.5264 0.0000 2.5745
3.9049 8.3568 2.4739
-0.2377 -0.1872 16.1932
I K Mn
12 8 2
Direct
0.0136 0.1451 0.2578
0.9503 0.5880 0.9230
0.9737 0.5825 0.4499
0.9939 0.0825 0.9499
0.5835 0.6451 0.7578
0.9223 0.0339 0.6389
0.3090 0.2686 0.7316
0.6908 0.7686 0.2316
0.4049 0.5339 0.1389
0.4429 0.6538 0.4949
0.4085 0.1538 0.9949
0.5387 0.0880 0.4230
0.6773 0.2479 0.8075
0.3392 0.9625 0.6286
0.4650 0.7794 0.9539
0.0696 0.4625 0.1286
0.8016 0.2794 0.4539
0.2673 0.7479 0.3075
0.7053 0.1444 0.1672
0.9830 0.6444 0.6672
0.6678 0.7800 0.4008
0.1514 0.2800 0.9008
```

Properties
- Formation energy without anion corrections: -1173 meV/atom
- Symmetry: Cc
- V: 52.8 Å³ per atom

=====

# 7
Below is a relaxed structure of K3Mn5I12, with properties calculated at the PBE-GGA level.

```
K3Mn5I12
1.0
16.0298 0.0000 0.0000
-5.3433 15.1130 0.0000
-5.3433 -7.5565 13.0883
K I Mn
12 48 20
Direct
0.2500 0.6250 0.8750
0.3750 0.6250 0.2500
0.7500 0.8750 0.6250
0.3750 0.7500 0.6250
0.6250 0.3750 0.7500
0.2500 0.1250 0.3750
0.6250 0.2500 0.3750
0.8750 0.7500 0.1250
0.1250 0.8750 0.7500
0.1250 0.2500 0.8750
0.7500 0.3750 0.1250
0.8750 0.1250 0.2500
0.6989 0.1127 0.0184
0.9057 0.8195 0.5184
0.6127 0.0184 0.1989
0.6127 0.5943 0.9138
0.3873 0.9816 0.8011
0.8873 0.5862 0.9057
0.3011 0.8873 0.9816
0.4138 0.3011 0.3195
0.1989 0.5184 0.6127
0.0184 0.4057 0.8195
0.5184 0.1989 0.1127
0.8195 0.9057 0.0184
0.0862 0.1805 0.1989
0.4057 0.3873 0.5862
0.8011 0.4816 0.3873
0.4816 0.6805 0.0943
0.9138 0.0943 0.6127
0.4138 0.1127 0.5943
0.5184 0.3195 0.9057
0.3195 0.8011 0.4138
0.9057 0.0862 0.8873
0.3873 0.4057 0.0862
0.0862 0.9057 0.3873
0.1127 0.6989 0.5184
0.0943 0.9138 0.1127
0.5943 0.6127 0.4138
0.1805 0.0862 0.6989
0.6805 0.4816 0.5943
0.1127 0.4138 0.0943
0.4816 0.8011 0.8873
0.4057 0.0184 0.3195
0.0184 0.6127 0.6989
0.8011 0.3195 0.9138
0.5862 0.6989 0.6805
0.3011 0.4138 0.8195
0.9138 0.8195 0.8011
0.3195 0.5184 0.4057
0.0943 0.1805 0.4816
0.1989 0.6805 0.0862
0.1805 0.0943 0.9816
0.9816 0.5943 0.1805
0.5943 0.9816 0.6805
0.6989 0.5862 0.1805
0.9816 0.3873 0.3011
0.5862 0.8873 0.4057
0.8195 0.9138 0.3011
0.8873 0.3011 0.4816
0.6805 0.1989 0.5862
0.5000 0.0000 0.5000
0.5000 0.0000 0.0000
0.5000 0.5000 0.0000
0.1250 0.7500 0.3750
0.3750 0.2500 0.1250
0.8750 0.6250 0.7500
0.6250 0.7500 0.8750
0.8750 0.2500 0.6250
0.0000 0.0000 0.0000
0.3750 0.1250 0.7500
0.0000 0.5000 0.0000
0.0000 0.5000 0.5000
0.2500 0.3750 0.6250
0.6250 0.8750 0.2500
0.7500 0.6250 0.3750
0.7500 0.1250 0.8750
0.5000 0.5000 0.5000
0.1250 0.3750 0.2500
0.0000 0.0000 0.5000
0.2500 0.8750 0.1250
```

Properties
- Formation energy without anion corrections: -663 meV/atom
- Symmetry: Ia-3d
- V: 39.6 Å³ per atom

=====

# 8
Below is a relaxed structure of KMn5I12, with properties calculated at the PBE-GGA level.

```
KMn5I12
1.0
-4.3726 5.7536 -1.4026
-3.1275 0.7159 -6.6312
-12.3490 -7.9957 4.8738
Mn I K
5 12 1
Direct
0.6666 0.6669 0.0000
0.1666 0.6669 0.5000
0.5000 0.0000 0.5000
0.3335 0.3331 0.0000
0.8334 0.3331 0.5000
0.6050 0.0000 0.8874
0.8311 0.6670 0.6042
0.3996 0.6031 0.8877
0.4981 0.3330 0.6042
0.5019 0.6670 0.3958
0.3950 0.0000 0.1126
0.1643 0.0000 0.6046
0.6005 0.3969 0.1123
0.9974 0.6031 0.1123
0.0026 0.3969 0.8877
0.8357 0.0000 0.3954
0.1689 0.3330 0.3958
0.0000 0.0000 0.0000
```

Properties
- Formation energy without anion corrections: -505 meV/atom
- Symmetry: C2/m
- V: 40.4 Å³ per atom

=====

# 9
Below is a relaxed structure of K2MnI4, with properties calculated at the PBE-GGA level.

```
K2MnI4
1.0
5.8069 0.0000 0.0000
0.0000 5.8069 0.0000
2.9035 2.9035 8.8218
K I Mn
2 4 1
Direct
0.6369 0.6369 0.7262
0.3631 0.3631 0.2738
0.0000 0.5000 0.0000
0.8367 0.8367 0.3265
0.1633 0.1633 0.6735
0.5000 0.0000 0.0000
0.0000 0.0000 0.0000
```

Properties
- E above lowest polymorph: 0.069 eV/atom
- Formation energy without anion corrections: -976 meV/atom
- Symmetry: I4/mmm
- V: 42.5 Å³ per atom

=====

# 10
Below is a relaxed structure of KMnI2, with properties calculated at the PBE-GGA level.

```
KMnI2
1.0
-0.0792 4.9863 2.4588
-2.8688 0.7338 4.7060
5.7544 -0.1712 6.8192
I K Mn
2 1 1
Direct
0.8979 0.8979 0.3064
0.1021 0.1021 0.6936
0.5000 0.5000 0.5000
0.0000 0.0000 0.0000
```

Properties
- E above lowest polymorph: 0.038 eV/atom
- Formation energy without anion corrections: -424 meV/atom
- Symmetry: R-3m
- V: 55.7 Å³ per atom

=====

# 11
Below is a relaxed structure of KMnI3, with properties calculated at the PBE-GGA level.

```
KMnI3
1.0
5.7952 0.0000 0.0000
0.0000 5.7952 0.0000
0.0000 0.0000 5.7952
I K Mn
3 1 1
Direct
0.0000 0.0000 0.5000
0.5000 0.0000 0.0000
0.0000 0.5000 0.0000
0.5000 0.5000 0.5000
0.0000 0.0000 0.0000
```

Properties
- E above lowest polymorph: 0.095 eV/atom
- Formation energy without anion corrections: -760 meV/atom
- Symmetry: Pm-3m
- V: 38.9 Å³ per atom

=====

# 12
Below is a relaxed structure of KMnI3, with properties calculated at the PBE-GGA level.

```
KMnI3
1.0
-5.4405 0.5314 -1.6949
2.3554 -0.8555 -8.5864
-0.5392 -8.7485 -1.7927
I Mn K
6 2 2
Direct
0.5003 0.3490 0.7877
0.9871 0.6216 0.4640
0.4980 0.8792 0.7222
0.9845 0.5554 0.9945
0.4975 0.2826 0.3182
0.9866 0.0251 0.0601
0.7426 0.6238 0.7197
0.7422 0.2807 0.0625
0.9727 0.1660 0.6045
0.5118 0.7383 0.1776
```

Properties
- E above lowest polymorph: 0.017 eV/atom
- Formation energy without anion corrections: -839 meV/atom
- Symmetry: P-1
- V: 44.1 Å³ per atom

=====

# 13
Below is a relaxed structure of K2MnI5, with properties calculated at the PBE-GGA level.

```
K2MnI5
1.0
8.5062 -0.0003 -0.0005
-0.0001 8.5063 -0.0004
-4.2530 -4.2530 4.9018
I K Mn
5 2 1
Direct
0.2413 0.2413 0.0401
0.2414 0.7987 0.0401
0.6973 0.6973 0.3946
0.7987 0.2414 0.0401
0.7987 0.7987 0.0401
0.7650 0.2650 0.5300
0.2651 0.7650 0.5300
0.9695 0.9695 0.9390
```

Properties
- Formation energy without anion corrections: -887 meV/atom
- Symmetry: I4mm
- V: 44.3 Å³ per atom

=====

# 14
Below is a relaxed structure of K2MnI, with properties calculated at the PBE-GGA level.

```
K2MnI
1.0
9.3876 0.0000 0.0000
0.0000 9.3876 0.0000
4.6938 4.6938 4.4225
Mn I K
2 2 4
Direct
0.5000 0.5000 0.0000
0.2500 0.7500 0.5000
0.7500 0.2500 0.5000
0.0000 0.0000 0.0000
0.1122 0.6250 0.2500
0.8750 0.8878 0.7500
0.6378 0.1250 0.2500
0.3750 0.3622 0.7500
```

Properties
- E above lowest polymorph: 0.011 eV/atom
- Formation energy without anion corrections: 97 meV/atom
- Symmetry: I-42d
- V: 48.7 Å³ per atom

=====

# 15
Below is a relaxed structure of KMnI3, with properties calculated at the PBE-GGA level.

```
KMnI3
1.0
8.6771 0.0000 0.4881
0.0000 9.8720 0.0000
0.6142 0.0000 11.3907
K I Mn
4 12 4
Direct
0.8757 0.2633 0.0575
0.3757 0.2367 0.5575
0.1243 0.7367 0.9425
0.6243 0.7633 0.4425
0.5945 0.4329 0.3156
0.0179 0.7873 0.5266
0.9055 0.9329 0.1844
0.6083 0.9956 0.6926
0.8917 0.4956 0.8074
0.5179 0.7127 0.0266
0.4055 0.5671 0.6844
0.9821 0.2127 0.4734
0.4821 0.2873 0.9734
0.0945 0.0671 0.8156
0.1083 0.5044 0.1926
0.3917 0.0044 0.3074
0.0876 0.9799 0.3535
0.9124 0.0201 0.6465
0.4124 0.4799 0.1465
0.5876 0.5201 0.8535
```

Properties
- E above lowest polymorph: 0.000 eV/atom
- Formation energy without anion corrections: -855 meV/atom
- Symmetry: P2_1/c
- V: 48.6 Å³ per atom

=====

# 16
Below is a relaxed structure of KMnI3, with properties calculated at the PBE-GGA level.

```
KMnI3
1.0
6.5229 0.0000 0.0000
0.0000 6.5229 0.0000
0.0000 0.0000 6.5229
I K Mn
3 1 1
Direct
0.0000 0.0000 0.5000
0.0000 0.5000 0.0000
0.5000 0.0000 0.0000
0.0000 0.0000 0.0000
0.5000 0.5000 0.5000
```

Properties
- E above lowest polymorph: 1.098 eV/atom
- Formation energy without anion corrections: 242 meV/atom
- Symmetry: Pm-3m
- V: 55.5 Å³ per atom

=====

# 17
Below is a relaxed structure of KMn2I, with properties calculated at the PBE-GGA level.

```
KMn2I
1.0
-2.3618 1.9690 -4.0162
0.0939 -4.5188 -2.2706
-10.5215 -3.6571 1.2093
K Mn I
2 4 2
Direct
0.5000 0.5000 0.0000
0.2500 0.7500 0.5000
0.8746 0.1250 0.2500
0.3750 0.1254 0.7500
0.8750 0.1246 0.7500
0.8754 0.6250 0.2500
0.7500 0.2500 0.5000
0.0000 0.0000 0.0000
```

Properties
- E above lowest polymorph: 0.000 eV/atom
- Formation energy without anion corrections: 650 meV/atom
- Symmetry: I4_1/amd
- V: 34.0 Å³ per atom

=====

# 18
Below is a relaxed structure of K2MnI, with properties calculated at the PBE-GGA level.

```
K2MnI
1.0
0.0000 4.3783 4.3783
4.3783 0.0000 4.3783
4.3783 4.3783 0.0000
K I Mn
2 1 1
Direct
0.7500 0.7500 0.7500
0.2500 0.2500 0.2500
0.5000 0.5000 0.5000
0.0000 0.0000 0.0000
```

Properties
- E above lowest polymorph: 0.000 eV/atom
- Formation energy without anion corrections: 86 meV/atom
- Symmetry: Fm-3m
- V: 42.0 Å³ per atom

=====

# 19
Below is a relaxed structure of KMnI2, with properties calculated at the PBE-GGA level.

```
KMnI2
1.0
-3.7054 0.7258 4.4786
-5.7082 0.8242 -1.0254
-3.8518 -4.2094 1.3264
K I Mn
1 2 1
Direct
0.0000 0.0000 0.0000
0.7500 0.7500 0.7500
0.2500 0.2500 0.2500
0.5000 0.5000 0.5000
```

Properties
- E above lowest polymorph: 0.199 eV/atom
- Formation energy without anion corrections: -263 meV/atom
- Symmetry: Fm-3m
- V: 35.5 Å³ per atom